Entry 1:
Density functional theory data (PBE-GGA) for a relaxed structure of K2As2Pt3.

Cell lengths 12.4337, 12.4337, 12.4337 Å; angles 20.08, 20.08, 20.08 degrees
Last column: nearest neighbours and their distance in Å.
Element x y z (fractional)
As1 0.5700 0.5700 0.5700  4 Pt 2.42-2.61
As2 0.9943 0.9943 0.9943  7 Pt 2.53-2.66
K1 0.1798 0.1798 0.1798  3 As 3.25
K2 0.7338 0.7338 0.7338  4 Pt 3.42-3.57, 3 As 3.65
Pt1 0.3369 0.3369 0.3369  3 As 2.53, 3 Pt 2.80
Pt2 0.6361 0.6361 0.6361  4 As 2.42-2.66
Pt3 0.9240 0.9240 0.9240  4 As 2.57-2.61

symmetry = No. 160
energy = -31.547 eV/f.u.

Entry 2:
Density functional theory data (PBE-GGA) for a relaxed structure of ZnCoNiIr.

Cell lengths 4.1285, 4.1285, 4.1285 Å; angles 60.00, 60.00, 60.00 degrees
Last column: nearest neighbours and their distance in Å.
Element x y z (fractional)
Co1 0.7500 0.7500 0.7500  4 Ir 2.53, 4 Zn 2.53
Ir1 0.5000 0.5000 0.5000  4 Co 2.53, 4 Ni 2.53
Ni1 0.2500 0.2500 0.2500  4 Zn 2.53, 4 Ir 2.53
Zn1 0.0000 0.0000 0.0000  4 Ni 2.53, 4 Co 2.53

formation energy = 44 meV per atom
symmetry = No. 216
energy = -22.616 eV/f.u.

Entry 3:
Density functional theory data (PBE-GGA) for a relaxed structure of SmZnNO.

Cell lengths 3.4292, 5.5869, 5.8014 Å; angles 90.00, 90.00, 90.00 degrees
Last column: nearest neighbours and their distance in Å.
Element x y z (fractional)
N1 0.0000 0.5490 0.2074  2 Zn 1.97-2.10
N2 0.0000 0.4510 0.7074  2 Zn 1.97-2.10
O1 0.5000 0.0895 0.0904  2 Zn 2.03
O2 0.5000 0.9105 0.5904  2 Zn 2.03
Sm1 0.5000 0.2989 0.4605  2 O 2.30-2.45, 2 N 2.39
Sm2 0.5000 0.7011 0.9605  2 O 2.30-2.45, 2 N 2.39
Zn1 0.0000 0.7494 0.4877  2 N 1.97-2.10, 2 O 2.03
Zn2 0.0000 0.2506 0.9877  2 N 1.97-2.10, 2 O 2.03

symmetry = No. 26
energy = -25.155 eV/f.u.

Entry 4:
Density functional theory data (PBE-GGA) for a relaxed structure of Ag2ICl.

Cell lengths 7.7939, 7.7939, 7.7939 Å; angles 132.17, 132.17, 69.97 degrees
Last column: nearest neighbours and their distance in Å.
Element x y z (fractional)
Ag1 0.3756 0.8984 0.0247  2 Cl 2.66, 2 I 2.83-2.84
Ag2 0.1016 0.1263 0.4772  2 Cl 2.66, 2 I 2.83-2.84
Ag3 0.6492 0.6244 0.5228  2 Cl 2.66, 2 I 2.83-2.84
Ag4 0.8737 0.3508 0.9753  2 Cl 2.66, 2 I 2.83-2.84
Cl1 0.0000 0.0000 0.0000  4 Ag 2.66
Cl2 0.7500 0.2500 0.5000  4 Ag 2.66
I1 0.5000 0.5000 0.0000  4 Ag 2.83
I2 0.2500 0.7500 0.5000  4 Ag 2.84

symmetry = No. 82
energy = -10.483 eV/f.u.